## Rb3MgMn2F9 (GGA+U)

Data for a relaxed structure of Rb3MgMn2F9.

Properties
Raw total energy in eV per atom: -5.35

Structure (CIF):
```
data_Rb3MgMn2F9
_cell_length_a 6.0003
_cell_length_b 6.0003
_cell_length_c 7.3553
_cell_angle_alpha 90.00
_cell_angle_beta 90.00
_cell_angle_gamma 120.00
_space_group_name_H-M_alt 'P -3 m 1'
_space_group_IT_number 164
_space_group_name_Hall '-P 3 2"'
loop_
_atom_site_label
_atom_site_type_symbol
_atom_site_fract_x
_atom_site_fract_y
_atom_site_fract_z
_atom_site_occupancy
Rb1 Rb 0.0000 0.0000 0.0000 1
Rb2 Rb 0.3333 0.6667 0.6682 1
Mg1 Mg 0.0000 0.0000 0.5000 1
Mn1 Mn 0.3333 0.6667 0.1744 1
F1 F 0.0000 0.5000 0.0000 1
F2 F 0.1614 0.3228 0.3405 1
```